Density functional theory data (GGA-PBE) for a relaxed LiTc2Pb crystal.

Summary:
Calculated volume   17.984 Å³/atom
Electronic total energy   -6.039 eV/atom
ΔH_f (0 K)   550 meV/atom

a = 3.843 Å, b = 3.843 Å, c = 19.485 Å
α = 90.00°, β = 90.00°, γ = 90.00°
Space group I-42d (No. 122)
Unique sites:
Li1 0.000 0.000 0.000 (multiplicity 4)
Tc1 0.182 0.250 0.125 (multiplicity 8)
Pb1 0.000 0.000 0.500 (multiplicity 4)

***

Density functional theory data (GGA-PBE) for a relaxed Tb2SmAg3S6 crystal.

Summary:
Calculated volume   24.488 Å³/atom
Electronic total energy   -5.239 eV/atom
Energy relative to the elements, uncorrected   -1.298 eV/atom

a = 15.533 Å, b = 4.097 Å, c = 9.578 Å
α = 90.00°, β = 105.36°, γ = 90.00°
Space group C2/m (No. 12)
Unique sites:
Tb1 0.165 0.000 0.336 (multiplicity 4)
Sm1 0.000 0.500 0.000 (multiplicity 2)
Ag1 0.000 0.500 0.500 (multiplicity 2)
Ag2 0.173 0.000 0.943 (multiplicity 4)
S1 0.012 0.000 0.804 (multiplicity 4)
S2 0.157 0.500 0.521 (multiplicity 4)
S3 0.185 0.500 0.144 (multiplicity 4)

***

Density functional theory data (GGA-PBE) for a relaxed AsIr2Au crystal.

Summary:
Calculated volume   16.402 Å³/atom
Electronic total energy   -6.142 eV/atom
ΔH_f (0 K)   270 meV/atom

a = 2.8720 Å, b = 2.8720 Å, c = 27.5540 Å
α = 90.00°, β = 90.00°, γ = 120.00°
Space group R3m (No. 160, hexagonal axes)
Unique sites:
As1 0.0000 0.0000 0.0000 (multiplicity 3)
Ir1 0.0000 0.0000 0.2614 (multiplicity 3)
Ir2 0.0000 0.0000 0.5155 (multiplicity 3)
Au1 0.0000 0.0000 0.7627 (multiplicity 3)

***

Density functional theory data (GGA-PBE) for a relaxed Ti2TeS crystal.

Summary:
Calculated volume   17.390 Å³/atom
Electronic total energy   -6.387 eV/atom
Distance to the lowest polymorph of the same formula   326 meV/atom
Energy relative to the elements, uncorrected   -0.623 eV/atom

a = 6.528 Å, b = 6.528 Å, c = 6.528 Å
α = 90.00°, β = 90.00°, γ = 90.00°
Space group Fm-3m (No. 225)
Unique sites:
Ti1 0.250 0.250 0.250 (multiplicity 8)
Te1 0.000 0.000 0.000 (multiplicity 4)
S1 0.000 0.000 0.500 (multiplicity 4)

***

Density functional theory data (GGA-PBE) for a relaxed Bi3AsPt crystal.

Summary:
Calculated volume   31.699 Å³/atom
Electronic total energy   -3.963 eV/atom
ΔH_f (0 K)   504 meV/atom
Distance to the lowest polymorph of the same formula   0 meV/atom

a = 5.412 Å, b = 5.412 Å, c = 5.412 Å
α = 90.00°, β = 90.00°, γ = 90.00°
Space group Pm-3m (No. 221)
Unique sites:
Bi1 0.000 0.000 0.500 (multiplicity 3)
As1 0.500 0.500 0.500 (multiplicity 1)
Pt1 0.000 0.000 0.000 (multiplicity 1)

***

Density functional theory data (GGA-PBE) for a relaxed Rb2LaSiF6 crystal.

Summary:
Calculated volume   23.568 Å³/atom
Electronic total energy   -5.125 eV/atom
Energy relative to the elements, uncorrected   -2.774 eV/atom

a = 6.292 Å, b = 6.292 Å, c = 11.905 Å
α = 90.00°, β = 90.00°, γ = 90.00°
Space group I4/mmm (No. 139)
Unique sites:
Rb1 0.000 0.500 0.250 (multiplicity 4)
La1 0.000 0.000 0.000 (multiplicity 2)
Si1 0.000 0.000 0.500 (multiplicity 2)
F1 0.000 0.000 0.193 (multiplicity 4)
F2 0.239 0.239 0.500 (multiplicity 8)

***

Density functional theory data (GGA-PBE) for a relaxed ZrIr3Rh crystal.

Summary:
Calculated volume   20.565 Å³/atom
Electronic total energy   -7.178 eV/atom
ΔH_f (0 K)   1319 meV/atom
Distance to the lowest polymorph of the same formula   0 meV/atom

a = 4.685 Å, b = 4.685 Å, c = 4.685 Å
α = 90.00°, β = 90.00°, γ = 90.00°
Space group Pm-3m (No. 221)
Unique sites:
Zr1 0.000 0.000 0.000 (multiplicity 1)
Ir1 0.000 0.500 0.500 (multiplicity 3)
Rh1 0.500 0.500 0.500 (multiplicity 1)

***

Density functional theory data (GGA-PBE) for a relaxed DyBe3Ni crystal.

Summary:
Calculated volume   13.624 Å³/atom
Electronic total energy   -4.409 eV/atom
ΔH_f (0 K)   -97 meV/atom

a = 4.084 Å, b = 4.084 Å, c = 4.084 Å
α = 90.00°, β = 90.00°, γ = 90.00°
Space group Pm-3m (No. 221)
Unique sites:
Dy1 0.000 0.000 0.000 (multiplicity 1)
Be1 0.000 0.500 0.500 (multiplicity 3)
Ni1 0.500 0.500 0.500 (multiplicity 1)

***

Density functional theory data (GGA-PBE) for a relaxed Li2Ca2Se crystal.

Summary:
Calculated volume   33.095 Å³/atom
Electronic total energy   -2.701 eV/atom
Distance to the lowest polymorph of the same formula   7 meV/atom
Energy relative to the elements, uncorrected   -0.438 eV/atom

a = 7.731 Å, b = 7.731 Å, c = 5.537 Å
α = 90.00°, β = 90.00°, γ = 90.00°
Space group P4/mbm (No. 127)
Unique sites:
Li1 0.129 0.371 0.000 (multiplicity 4)
Ca1 0.177 0.677 0.500 (multiplicity 4)
Se1 0.000 0.000 0.500 (multiplicity 2)

***

Density functional theory data (GGA-PBE) for a relaxed AcLa2Cu2Si2 crystal.

Summary:
Calculated volume   23.148 Å³/atom
Electronic total energy   -5.174 eV/atom
Energy relative to the elements, uncorrected   -0.459 eV/atom

a = 4.3096 Å, b = 4.3096 Å, c = 30.2228 Å
α = 90.00°, β = 90.00°, γ = 120.00°
Space group R-3m (No. 166, hexagonal axes)
Unique sites:
Ac1 0.0000 0.0000 0.0000 (multiplicity 3)
La1 0.0000 0.0000 0.1340 (multiplicity 6)
Cu1 0.0000 0.0000 0.4076 (multiplicity 6)
Si1 0.0000 0.0000 0.2588 (multiplicity 6)

***

Density functional theory data (GGA-PBE) for a relaxed TaCuSnO6 crystal.

Summary:
Calculated volume   11.712 Å³/atom
Electronic total energy   -7.184 eV/atom
Energy relative to the elements, uncorrected   -1.662 eV/atom

a = 4.745 Å, b = 4.745 Å, c = 9.365 Å
α = 90.00°, β = 90.00°, γ = 90.00°
Space group P4_2nm (No. 102)
Unique sites:
Ta1 0.000 0.000 0.000 (multiplicity 2)
Cu1 0.000 0.000 0.334 (multiplicity 2)
Sn1 0.000 0.000 0.665 (multiplicity 2)
O1 0.191 0.191 0.162 (multiplicity 4)
O2 0.197 0.197 0.840 (multiplicity 4)
O3 0.199 0.199 0.497 (multiplicity 4)

***

Density functional theory data (GGA-PBE) for a relaxed Pu6Ge2Os crystal.

Summary:
Calculated volume   20.301 Å³/atom
Electronic total energy   -11.992 eV/atom
ΔH_f (0 K)   -164 meV/atom

a = 4.942 Å, b = 8.566 Å, c = 9.902 Å
α = 90.00°, β = 119.33°, γ = 90.00°
Space group P2_1/c (No. 14)
Unique sites:
Pu1 0.093 0.152 0.095 (multiplicity 4)
Pu2 0.122 0.520 0.158 (multiplicity 4)
Pu3 0.336 0.187 0.381 (multiplicity 4)
Ge1 0.302 0.661 0.768 (multiplicity 4)
Os1 0.500 0.000 0.000 (multiplicity 2)